Below is a relaxed MgFe2Co2 crystal, with properties calculated at the PBE-GGA level.

E_form (eV per atom): 0.2960
M_tot (μB per atom): 1.024

Lattice parameters (Å, degrees): 5.237 5.237 5.237 136.50 136.50 63.21
Fractional coordinates of all 5 atoms:
Mg1 0.000 0.000 0.000
Fe1 0.382 0.382 0.000
Fe2 0.618 0.618 0.000
Co1 0.250 0.750 0.500
Co2 0.750 0.250 0.500

=====

Below is a relaxed LaMg2Co crystal, with properties calculated at the PBE-GGA level.

E_form (eV per atom): 0.0954
M_tot (μB per atom): 0.000

Lattice parameters (Å, degrees): 7.045 7.045 7.045 154.25 141.60 46.81
Fractional coordinates of all 4 atoms:
La1 0.000 0.000 0.000
Mg1 0.313 0.813 0.500
Mg2 0.668 0.668 0.000
Co1 0.833 0.333 0.500

=====

Below is a relaxed CsSrSiAs2 crystal, with properties calculated at the PBE-GGA level.

M_tot (μB per atom): 0.000
Energy relative to the elements, uncorrected (eV per atom): -0.322

Lattice parameters (Å, degrees): 9.345 9.345 5.517 90.00 90.00 125.90
Fractional coordinates of all 10 atoms:
Cs1 0.250 0.750 0.765
Cs2 0.750 0.250 0.235
Sr1 0.250 0.250 0.000
Sr2 0.750 0.750 0.000
Si1 0.000 0.000 0.500
Si2 0.500 0.500 0.500
As1 0.110 0.890 0.268
As2 0.390 0.610 0.268
As3 0.610 0.390 0.732
As4 0.890 0.110 0.732